Version A
Material: Pr7Sm3Tm2
Method: DFT, GGA-PBE
State: relaxed

Calculated values
Crystal system ... monoclinic
Total magnetization ... 0.0 μB/f.u.
Theoretical density ... 6.66 g cm⁻³
Space-group type ... P2/m

a = 6.362 Å, b = 5.661 Å, c = 12.299 Å
α = 90.00°, β = 91.34°, γ = 90.00°
Fractional positions:
Pr  0.000  0.000  0.000
Pr  0.094  0.500  0.171
Pr  0.247  0.500  0.451
Pr  0.441  0.000  0.190
Pr  0.559  0.000  0.810
Pr  0.753  0.500  0.549
Pr  0.906  0.500  0.829
Sm  0.071  0.000  0.659
Sm  0.500  0.500  0.000
Sm  0.929  0.000  0.341
Tm  0.370  0.500  0.723
Tm  0.630  0.500  0.277

***

Version B
Material: Pr7Sm3Tm2
Method: DFT, GGA-PBE
State: relaxed

Calculated values
Crystal system ... monoclinic
Total magnetization ... 0.0 μB/f.u.
Theoretical density ... 7.04 g cm⁻³
Space-group type ... P2/m

a = 5.972 Å, b = 3.634 Å, c = 19.322 Å
α = 90.00°, β = 93.53°, γ = 90.00°
Fractional positions:
Pr  0.000  0.000  0.000
Pr  0.181  0.500  0.184
Pr  0.257  0.500  0.535
Pr  0.321  0.000  0.854
Pr  0.679  0.000  0.146
Pr  0.743  0.500  0.465
Pr  0.819  0.500  0.816
Sm  0.219  0.000  0.366
Sm  0.500  0.500  0.000
Sm  0.781  0.000  0.634
Tm  0.291  0.500  0.703
Tm  0.709  0.500  0.297

***

Quick one: most stable of them? version B

***

Version A
Material: Pr5Sm4Tm
Method: DFT, GGA-PBE
State: relaxed

Calculated values
Crystal system ... triclinic
Total magnetization ... 0.0 μB/f.u.
Theoretical density ... 7.08 g cm⁻³
Space-group type ... P-1

a = 3.656 Å, b = 9.667 Å, c = 10.358 Å
α = 74.49°, β = 89.94°, γ = 79.16°
Fractional positions:
Pr  0.000  0.000  0.000
Pr  0.200  0.600  0.100
Pr  0.401  0.198  0.695
Pr  0.599  0.802  0.305
Pr  0.800  0.400  0.900
Sm  0.199  0.601  0.600
Sm  0.401  0.199  0.205
Sm  0.599  0.801  0.795
Sm  0.801  0.399  0.400
Tm  0.000  0.000  0.500

***

Version B
Material: Pr5Sm4Tm
Method: DFT, GGA-PBE
State: relaxed

Calculated values
Crystal system ... tetragonal
Total magnetization ... 0.0 μB/f.u.
Theoretical density ... 6.96 g cm⁻³
Space-group type ... I4

a = 8.124 Å, b = 8.124 Å, c = 8.124 Å
α = 98.54°, β = 98.54°, γ = 134.65°
Fractional positions:
Pr  0.000  0.000  0.000
Pr  0.089  0.467  0.999
Pr  0.090  0.089  0.622
Pr  0.467  0.468  0.378
Pr  0.468  0.090  0.001
Sm  0.069  0.744  0.324
Sm  0.420  0.745  0.676
Sm  0.744  0.420  0.675
Sm  0.745  0.069  0.325
Tm  0.535  0.535  0.000

***

Quick one: most stable of them? version A

***

Version A
Material: Pr2Sm3Tm4
Method: DFT, GGA-PBE
State: relaxed

Calculated values
Crystal system ... monoclinic
Total magnetization ... 0.0 μB/f.u.
Theoretical density ... 7.99 g cm⁻³
Space-group type ... C2/c

a = 10.122 Å, b = 10.122 Å, c = 6.111 Å
α = 95.98°, β = 95.98°, γ = 70.57°
Fractional positions:
Pr  0.013  0.766  0.719
Pr  0.234  0.987  0.781
Pr  0.766  0.013  0.219
Pr  0.987  0.234  0.281
Sm  0.140  0.860  0.250
Sm  0.191  0.485  0.409
Sm  0.485  0.191  0.909
Sm  0.515  0.809  0.091
Sm  0.809  0.515  0.591
Sm  0.860  0.140  0.750
Tm  0.119  0.348  0.862
Tm  0.330  0.552  0.959
Tm  0.348  0.119  0.362
Tm  0.448  0.670  0.541
Tm  0.552  0.330  0.459
Tm  0.652  0.881  0.638
Tm  0.670  0.448  0.041
Tm  0.881  0.652  0.138

***

Version B
Material: Pr2Sm3Tm4
Method: DFT, GGA-PBE
State: relaxed

Calculated values
Crystal system ... monoclinic
Total magnetization ... 0.0 μB/f.u.
Theoretical density ... 7.96 g cm⁻³
Space-group type ... C2/m

a = 8.015 Å, b = 8.015 Å, c = 8.027 Å
α = 107.45°, β = 107.45°, γ = 36.90°
Fractional positions:
Pr  0.057  0.057  0.330
Pr  0.943  0.943  0.670
Sm  0.387  0.387  0.334
Sm  0.500  0.500  0.000
Sm  0.613  0.613  0.666
Tm  0.168  0.168  0.998
Tm  0.277  0.277  0.670
Tm  0.723  0.723  0.330
Tm  0.832  0.832  0.002

***

Quick one: most stable of them? version B

***

Version A
Material: PrSm2Tm
Method: DFT, GGA-PBE
State: relaxed

Calculated values
Crystal system ... tetragonal
Total magnetization ... 0.0 μB/f.u.
Theoretical density ... 7.59 g cm⁻³
Space-group type ... I-4m2

a = 6.238 Å, b = 6.238 Å, c = 6.238 Å
α = 131.45°, β = 131.45°, γ = 71.10°
Fractional positions:
Pr  0.000  0.000  0.000
Sm  0.500  0.500  0.000
Sm  0.750  0.250  0.500
Tm  0.250  0.750  0.500

***

Version B
Material: PrSm2Tm
Method: DFT, GGA-PBE
State: relaxed

Calculated values
Crystal system ... cubic
Total magnetization ... 0.0 μB/f.u.
Theoretical density ... 7.51 g cm⁻³
Space-group type ... Fm-3m

a = 5.759 Å, b = 5.759 Å, c = 5.759 Å
α = 60.00°, β = 60.00°, γ = 60.00°
Fractional positions:
Pr  0.000  0.000  0.000
Sm  0.250  0.250  0.250
Sm  0.750  0.750  0.750
Tm  0.500  0.500  0.500

***

Version C
Material: PrSm2Tm
Method: DFT, GGA-PBE
State: relaxed

Calculated values
Crystal system ... tetragonal
Total magnetization ... 0.0 μB/f.u.
Theoretical density ... 7.54 g cm⁻³
Space-group type ... P4/mmm

a = 4.244 Å, b = 4.244 Å, c = 7.464 Å
α = 90.00°, β = 90.00°, γ = 90.00°
Fractional positions:
Pr  0.000  0.000  0.000
Sm  0.500  0.500  0.261
Sm  0.500  0.500  0.739
Tm  0.000  0.000  0.500

***

Quick one: most stable of them? version A

***

Version A
Material: PrSmTm4
Method: DFT, GGA-PBE
State: relaxed

Calculated values
Crystal system ... monoclinic
Total magnetization ... 0.0 μB/f.u.
Theoretical density ... 8.21 g cm⁻³
Space-group type ... C2/c

a = 8.536 Å, b = 8.536 Å, c = 6.424 Å
α = 99.72°, β = 99.72°, γ = 117.87°
Fractional positions:
Pr  0.084  0.916  0.750
Pr  0.916  0.084  0.250
Sm  0.497  0.503  0.250
Sm  0.503  0.497  0.750
Tm  0.070  0.340  0.881
Tm  0.212  0.602  0.469
Tm  0.340  0.070  0.381
Tm  0.398  0.788  0.031
Tm  0.602  0.212  0.969
Tm  0.660  0.930  0.619
Tm  0.788  0.398  0.531
Tm  0.930  0.660  0.119

***

Version B
Material: PrSmTm4
Method: DFT, GGA-PBE
State: relaxed

Calculated values
Crystal system ... cubic
Total magnetization ... 5.3 μB/f.u.
Theoretical density ... 7.80 g cm⁻³
Space-group type ... F-43m

a = 6.629 Å, b = 6.629 Å, c = 6.629 Å
α = 60.00°, β = 60.00°, γ = 60.00°
Fractional positions:
Pr  0.000  0.000  0.000
Sm  0.750  0.750  0.750
Tm  0.375  0.375  0.375
Tm  0.375  0.375  0.874
Tm  0.375  0.874  0.375
Tm  0.874  0.375  0.375

***

Quick one: most stable of them? version A

***

Version A
Material: Pr2SmTm2
Method: DFT, GGA-PBE
State: relaxed

Calculated values
Crystal system ... monoclinic
Total magnetization ... 0.0 μB/f.u.
Theoretical density ... 7.22 g cm⁻³
Space-group type ... C2/c

a = 8.210 Å, b = 8.210 Å, c = 6.082 Å
α = 103.14°, β = 103.14°, γ = 109.85°
Fractional positions:
Pr  0.107  0.263  0.373
Pr  0.263  0.107  0.873
Pr  0.737  0.893  0.127
Pr  0.893  0.737  0.627
Sm  0.434  0.566  0.250
Sm  0.566  0.434  0.750
Tm  0.169  0.831  0.250
Tm  0.303  0.697  0.750
Tm  0.697  0.303  0.250
Tm  0.831  0.169  0.750

***

Version B
Material: Pr2SmTm2
Method: DFT, GGA-PBE
State: relaxed

Calculated values
Crystal system ... monoclinic
Total magnetization ... 0.0 μB/f.u.
Theoretical density ... 7.72 g cm⁻³
Space-group type ... C2/m

a = 3.599 Å, b = 3.599 Å, c = 14.759 Å
α = 90.02°, β = 90.02°, γ = 59.96°
Fractional positions:
Pr  0.168  0.168  0.392
Pr  0.832  0.832  0.608
Sm  0.500  0.500  0.000
Tm  0.166  0.166  0.805
Tm  0.834  0.834  0.195

***

Quick one: most stable of them? version B

***

Version A
Material: Pr4Sm3Tm
Method: DFT, GGA-PBE
State: relaxed

Calculated values
Crystal system ... orthorhombic
Total magnetization ... 0.0 μB/f.u.
Theoretical density ... 7.13 g cm⁻³
Space-group type ... Pmn2_1

a = 11.834 Å, b = 6.350 Å, c = 7.334 Å
α = 90.00°, β = 90.00°, γ = 90.00°
Fractional positions:
Pr  0.000  0.167  0.000
Pr  0.000  0.668  0.749
Pr  0.247  0.997  0.249
Pr  0.253  0.003  0.749
Pr  0.500  0.332  0.249
Pr  0.500  0.833  0.500
Pr  0.747  0.003  0.749
Pr  0.753  0.997  0.249
Sm  0.000  0.167  0.498
Sm  0.249  0.500  0.499
Sm  0.251  0.500  0.999
Sm  0.500  0.833  0.998
Sm  0.749  0.500  0.999
Sm  0.751  0.500  0.499
Tm  0.000  0.665  0.251
Tm  0.500  0.335  0.751

***

Version B
Material: Pr4Sm3Tm
Method: DFT, GGA-PBE
State: relaxed

Calculated values
Crystal system ... orthorhombic
Total magnetization ... 0.0 μB/f.u.
Theoretical density ... 7.13 g cm⁻³
Space-group type ... Pmna

a = 10.344 Å, b = 7.299 Å, c = 7.299 Å
α = 90.00°, β = 90.00°, γ = 90.00°
Fractional positions:
Pr  0.000  0.000  0.000
Pr  0.000  0.500  0.500
Pr  0.250  0.248  0.250
Pr  0.250  0.752  0.750
Pr  0.500  0.000  0.500
Pr  0.500  0.500  0.000
Pr  0.750  0.248  0.250
Pr  0.750  0.752  0.750
Sm  0.000  0.500  0.000
Sm  0.250  0.248  0.750
Sm  0.250  0.752  0.250
Sm  0.500  0.500  0.500
Sm  0.750  0.248  0.750
Sm  0.750  0.752  0.250
Tm  0.000  0.000  0.500
Tm  0.500  0.000  0.000

***

Quick one: most stable of them? version A

***

Version A
Material: Pr12Sm2Tm5
Method: DFT, GGA-PBE
State: relaxed

Calculated values
Crystal system ... monoclinic
Total magnetization ... 0.0 μB/f.u.
Theoretical density ... 7.14 g cm⁻³
Space-group type ... C2/m

a = 8.846 Å, b = 8.846 Å, c = 9.532 Å
α = 109.89°, β = 109.89°, γ = 83.98°
Fractional positions:
Pr  0.029  0.547  0.692
Pr  0.065  0.065  0.280
Pr  0.139  0.657  0.095
Pr  0.343  0.861  0.905
Pr  0.397  0.397  0.575
Pr  0.453  0.971  0.308
Pr  0.547  0.029  0.692
Pr  0.603  0.603  0.425
Pr  0.657  0.139  0.095
Pr  0.861  0.343  0.905
Pr  0.935  0.935  0.720
Pr  0.971  0.453  0.308
Sm  0.214  0.786  0.500
Sm  0.786  0.214  0.500
Tm  0.197  0.197  0.736
Tm  0.281  0.281  0.140
Tm  0.500  0.500  0.000
Tm  0.719  0.719  0.860
Tm  0.803  0.803  0.264

***

Version B
Material: Pr12Sm2Tm5
Method: DFT, GGA-PBE
State: relaxed

Calculated values
Crystal system ... monoclinic
Total magnetization ... 0.0 μB/f.u.
Theoretical density ... 7.20 g cm⁻³
Space-group type ... C2/m

a = 10.813 Å, b = 10.813 Å, c = 6.262 Å
α = 100.32°, β = 100.32°, γ = 66.06°
Fractional positions:
Pr  0.042  0.563  0.801
Pr  0.058  0.058  0.273
Pr  0.148  0.643  0.384
Pr  0.357  0.852  0.616
Pr  0.379  0.379  0.999
Pr  0.437  0.958  0.199
Pr  0.563  0.042  0.801
Pr  0.621  0.621  0.001
Pr  0.643  0.148  0.384
Pr  0.852  0.357  0.616
Pr  0.942  0.942  0.727
Pr  0.958  0.437  0.199
Sm  0.271  0.729  0.000
Sm  0.729  0.271  0.000
Tm  0.179  0.179  0.858
Tm  0.285  0.285  0.449
Tm  0.500  0.500  0.500
Tm  0.715  0.715  0.551
Tm  0.821  0.821  0.142

***

Quick one: most stable of them? version B